No. 1
Density functional theory data (PBE) for ZrSn after structural relaxation.

Its crystal system is cubic. Its formation energy is 0.616 eV/atom.

The structure belongs to space group I-43m (No. 217); the cell edges are 8.955, 8.955 and 8.955 Å and the angles 90.00°, 90.00° and 90.00°. Symmetry generates all atoms from Zr at (0.126, 0.126, 0.126) and Sn at (0.189, 0.189, 0.811).



No. 2
Density functional theory data (PBE) for ZrSn after structural relaxation.

Its crystal system is orthorhombic. Its formation energy is -0.333 eV/atom.

The structure belongs to space group Amm2 (No. 38); the cell edges are 5.520, 15.378 and 5.520 Å and the angles 90.00°, 90.00° and 90.00°. Symmetry generates all atoms from Zr at (0.000, 0.000, 0.000), Zr at (0.000, 0.192, 0.971), Zr at (0.500, 0.192, 0.452), Sn at (0.000, 0.109, 0.480), Sn at (0.500, 0.000, 0.442) and Sn at (0.500, 0.110, 0.950).



No. 3
Density functional theory data (PBE) for Zr3Sn4 after structural relaxation.

Its crystal system is tetragonal. Its formation energy is -0.308 eV/atom.

The structure belongs to space group I4/mmm (No. 139); the cell edges are 3.835, 3.835 and 22.219 Å and the angles 90.00°, 90.00° and 90.00°. Symmetry generates all atoms from Zr at (0.000, 0.000, 0.000), Zr at (0.000, 0.000, 0.284), Sn at (0.000, 0.000, 0.148) and Sn at (0.000, 0.000, 0.429).



No. 4
Density functional theory data (PBE) for ZrSn after structural relaxation.

Its crystal system is monoclinic. Its formation energy is -0.294 eV/atom.

The structure belongs to space group P2_1/m (No. 11); the cell edges are 7.828, 4.622 and 8.342 Å and the angles 90.00°, 108.93° and 90.00°. Symmetry generates all atoms from Zr at (0.007, 0.250, 0.371), Zr at (0.036, 0.750, 0.133), Zr at (0.353, 0.750, 0.967), Sn at (0.275, 0.250, 0.727), Sn at (0.306, 0.250, 0.186) and Sn at (0.330, 0.750, 0.486).



No. 5
Density functional theory data (PBE) for Zr3Sn after structural relaxation.

Its crystal system is orthorhombic. Its formation energy is -0.347 eV/atom.

The structure belongs to space group Pmmn (No. 59, origin choice 2); the cell edges are 5.157, 6.115 and 5.717 Å and the angles 90.00°, 90.00° and 90.00°. Symmetry generates all atoms from Zr at (0.250, 0.000, 0.148), Zr at (0.250, 0.250, 0.636) and Sn at (0.250, 0.750, 0.664).



No. 6
Density functional theory data (PBE) for Zr8Sn after structural relaxation.

Its crystal system is tetragonal. Its formation energy is -0.156 eV/atom.

The structure belongs to space group I4/mmm (No. 139); the cell edges are 9.739, 9.739 and 4.350 Å and the angles 90.00°, 90.00° and 90.00°. Symmetry generates all atoms from Zr at (0.000, 0.332, 0.000), Zr at (0.165, 0.165, 0.500) and Sn at (0.000, 0.000, 0.000).



No. 7
Density functional theory data (PBE) for ZrSn after structural relaxation.

Its crystal system is hexagonal. Its formation energy is 0.033 eV/atom.

The structure belongs to space group P6_3/mmc (No. 194); the cell edges are 5.0095, 5.0095 and 5.7425 Å and the angles 90.00°, 90.00° and 120.00°. Symmetry generates all atoms from Zr at (0.3333, 0.6667, 0.2500) and Sn at (0.3333, 0.6667, 0.7500).



No. 8
Density functional theory data (PBE) for Zr4Sn3 after structural relaxation.

Its crystal system is hexagonal. Its formation energy is -0.334 eV/atom. The excess energy over the best structure of this formula in the dataset comes out at 0.000 eV/atom.

The structure belongs to space group P6_3/m (No. 176); the cell edges are 8.3690, 8.3690 and 5.3033 Å and the angles 90.00°, 90.00° and 120.00°. Symmetry generates all atoms from Zr at (0.0230, 0.7865, 0.2500), Zr at (0.3333, 0.6667, 0.2500) and Sn at (0.0741, 0.6223, 0.7500).



No. 9
Density functional theory data (PBE) for ZrSn after structural relaxation.

Its crystal system is cubic. Its formation energy is 0.613 eV/atom.

The structure belongs to space group F-43m (No. 216); the cell edges are 6.595, 6.595 and 6.595 Å and the angles 90.00°, 90.00° and 90.00°. Symmetry generates all atoms from Zr at (0.000, 0.000, 0.000) and Sn at (0.250, 0.250, 0.750).



No. 10
Density functional theory data (PBE) for Zr3Sn after structural relaxation.

Its crystal system is tetragonal. Its formation energy is -0.336 eV/atom.

The structure belongs to space group I4/mmm (No. 139); the cell edges are 4.356, 4.356 and 9.543 Å and the angles 90.00°, 90.00° and 90.00°. Symmetry generates all atoms from Zr at (0.000, 0.000, 0.000), Zr at (0.000, 0.500, 0.250) and Sn at (0.000, 0.000, 0.500).



No. 11
Density functional theory data (PBE) for ZrSn after structural relaxation.

Its crystal system is orthorhombic. Its formation energy is -0.256 eV/atom.

The structure belongs to space group Amm2 (No. 38); the cell edges are 5.421, 15.686 and 5.436 Å and the angles 90.00°, 90.00° and 90.00°. Symmetry generates all atoms from Zr at (0.000, 0.000, 0.000), Zr at (0.000, 0.106, 0.499), Zr at (0.500, 0.099, 0.996), Sn at (0.000, 0.194, 0.999), Sn at (0.500, 0.000, 0.494) and Sn at (0.500, 0.199, 0.497).



No. 12
Density functional theory data (PBE) for Zr4Sn3 after structural relaxation.

Its crystal system is hexagonal. Its formation energy is -0.211 eV/atom. The excess energy over the best structure of this formula in the dataset comes out at 0.123 eV/atom.

The structure belongs to space group P6_3/m (No. 176); the cell edges are 8.2952, 8.2952 and 5.5604 Å and the angles 90.00°, 90.00° and 120.00°. Symmetry generates all atoms from Zr at (0.0966, 0.6413, 0.2500), Zr at (0.3333, 0.6667, 0.7500) and Sn at (0.0504, 0.7890, 0.7500).



No. 13
Density functional theory data (PBE) for Zr3Sn after structural relaxation.

Its crystal system is cubic. Its formation energy is -0.214 eV/atom.

The structure belongs to space group Fm-3m (No. 225); the cell edges are 7.093, 7.093 and 7.093 Å and the angles 90.00°, 90.00° and 90.00°. Symmetry generates all atoms from Zr at (0.000, 0.000, 0.000), Zr at (0.250, 0.250, 0.250) and Sn at (0.000, 0.000, 0.500).



No. 14
Density functional theory data (PBE) for ZrSn after structural relaxation.

Its crystal system is orthorhombic. Its formation energy is -0.265 eV/atom.

The structure belongs to space group Pmmn (No. 59, origin choice 2); the cell edges are 5.311, 12.842 and 5.542 Å and the angles 90.00°, 90.00° and 90.00°. Symmetry generates all atoms from Zr at (0.250, 0.009, 0.158), Zr at (0.250, 0.134, 0.665), Sn at (0.250, 0.250, 0.166), Sn at (0.250, 0.599, 0.668) and Sn at (0.250, 0.750, 0.220).



No. 15
Density functional theory data (PBE) for ZrSn3 after structural relaxation.

Its crystal system is tetragonal. Its formation energy is -0.134 eV/atom.

The structure belongs to space group I4/mmm (No. 139); the cell edges are 4.369, 4.369 and 10.235 Å and the angles 90.00°, 90.00° and 90.00°. Symmetry generates all atoms from Zr at (0.000, 0.000, 0.000), Sn at (0.000, 0.000, 0.500) and Sn at (0.000, 0.500, 0.250).



No. 16
Density functional theory data (PBE) for Zr7Sn after structural relaxation.

Its crystal system is cubic. Its formation energy is -0.154 eV/atom.

The structure belongs to space group Fm-3m (No. 225); the cell edges are 9.001, 9.001 and 9.001 Å and the angles 90.00°, 90.00° and 90.00°. Symmetry generates all atoms from Zr at (0.000, 0.000, 0.000), Zr at (0.000, 0.250, 0.250) and Sn at (0.000, 0.000, 0.500).



No. 17
Density functional theory data (PBE) for ZrSn after structural relaxation.

Its crystal system is hexagonal. Its formation energy is -0.406 eV/atom.

The structure belongs to space group P-6m2 (No. 187); the cell edges are 3.2840, 3.2840 and 4.9333 Å and the angles 90.00°, 90.00° and 120.00°. Symmetry generates all atoms from Zr at (0.0000, 0.0000, 0.0000) and Sn at (0.3333, 0.6667, 0.5000).



No. 18
Density functional theory data (PBE) for Sr4Ta5 after structural relaxation.

Its crystal system is hexagonal. Its formation energy is 1.246 eV/atom. The excess energy over the best structure of this formula in the dataset comes out at 0.488 eV/atom.

The structure belongs to space group P6_3/mcm (No. 193); the cell edges are 9.1434, 9.1434 and 6.1553 Å and the angles 90.00°, 90.00° and 120.00°. Symmetry generates all atoms from Sr at (0.0000, 0.0000, 0.0000), Sr at (0.0000, 0.3009, 0.2500), Ta at (0.0000, 0.3975, 0.7500) and Ta at (0.3333, 0.6667, 0.0000).



No. 19
Density functional theory data (PBE) for SrTa after structural relaxation.

Its crystal system is orthorhombic. Its formation energy is 0.729 eV/atom. The excess energy over the best structure of this formula in the dataset comes out at 0.230 eV/atom.

The structure belongs to space group Imm2 (No. 44); the cell edges are 3.527, 14.228 and 8.011 Å and the angles 90.00°, 90.00° and 90.00°. Symmetry generates all atoms from Sr at (0.000, 0.000, 0.000), Sr at (0.000, 0.286, 0.809), Ta at (0.000, 0.000, 0.456) and Ta at (0.000, 0.410, 0.157).



No. 20
Density functional theory data (PBE) for SrTa after structural relaxation.

Its crystal system is hexagonal. Its formation energy is 1.195 eV/atom. The excess energy over the best structure of this formula in the dataset comes out at 0.696 eV/atom.

The structure belongs to space group P6_3/mmc (No. 194); the cell edges are 3.2059, 3.2059 and 11.5562 Å and the angles 90.00°, 90.00° and 120.00°. Symmetry generates all atoms from Sr at (0.0000, 0.0000, 0.0000) and Ta at (0.3333, 0.6667, 0.2500).



No. 21
Density functional theory data (PBE) for SrTa after structural relaxation.

Its crystal system is orthorhombic. Its formation energy is 0.994 eV/atom. The excess energy over the best structure of this formula in the dataset comes out at 0.496 eV/atom.

The structure belongs to space group Pnma (No. 62); the cell edges are 9.519, 4.115 and 6.718 Å and the angles 90.00°, 90.00° and 90.00°. Symmetry generates all atoms from Sr at (0.184, 0.250, 0.110) and Ta at (0.027, 0.250, 0.605).



No. 22
Density functional theory data (PBE) for SrTa after structural relaxation.

Its crystal system is orthorhombic. Its formation energy is 0.878 eV/atom. The excess energy over the best structure of this formula in the dataset comes out at 0.380 eV/atom.

The structure belongs to space group Imma (No. 74); the cell edges are 3.420, 6.104 and 11.384 Å and the angles 90.00°, 90.00° and 90.00°. Symmetry generates all atoms from Sr at (0.000, 0.250, 0.100) and Ta at (0.000, 0.250, 0.666).



No. 23
Density functional theory data (PBE) for SrTa7 after structural relaxation.

Its crystal system is cubic. Its formation energy is 0.739 eV/atom.

The structure belongs to space group Fm-3m (No. 225); the cell edges are 8.614, 8.614 and 8.614 Å and the angles 90.00°, 90.00° and 90.00°. Symmetry generates all atoms from Sr at (0.000, 0.000, 0.000), Ta at (0.000, 0.000, 0.500) and Ta at (0.000, 0.250, 0.250).



No. 24
Density functional theory data (PBE) for SrTa after structural relaxation.

Its crystal system is orthorhombic. Its formation energy is 0.525 eV/atom. The excess energy over the best structure of this formula in the dataset comes out at 0.026 eV/atom.

The structure belongs to space group Cmcm (No. 63); the cell edges are 3.589, 18.983 and 3.682 Å and the angles 90.00°, 90.00° and 90.00°. Symmetry generates all atoms from Sr at (0.000, 0.099, 0.250) and Ta at (0.000, 0.277, 0.250).